No. 1
# SiAs2W

A relaxed SiAs2W crystal (PBE, the Alexandria database).

extended XYZ file:
```
4
Lattice="-1.6861 2.2850 4.1215 1.6861 -2.2850 4.1215 1.6861 2.2850 -4.1215" Properties=species:S:1:pos:R:3 pbc="T T T"
Si 0.0000 0.0000 0.0000
As 1.6861 0.0000 1.8454
As 0.0000 0.0000 3.8909
W 0.0000 2.2850 1.9533
```

Properties
**Electronic total energy**: -25.7 eV for the cell shown
**N(E_F)**: 2.3 states/eV per cell
**Energy relative to the elements, uncorrected**: 47.2 kJ per mole of atoms
**Total moment**: 0.00 μB/cell


No. 2
# SiAs3W

A relaxed SiAs3W crystal (PBE, the Alexandria database).

extended XYZ file:
```
5
Lattice="4.8966 0.0000 0.0000 0.0000 4.8966 0.0000 0.0000 0.0000 4.8966" Properties=species:S:1:pos:R:3 pbc="T T T"
Si 0.0000 0.0000 0.0000
As 0.0000 2.4483 2.4483
As 2.4483 0.0000 2.4483
As 2.4483 2.4483 0.0000
W 2.4483 2.4483 2.4483
```

Properties
**Electronic total energy**: -28.0 eV for the cell shown
**N(E_F)**: 6.9 states/eV per cell
**Energy relative to the elements, uncorrected**: 82.7 kJ per mole of atoms
**Total moment**: 0.00 μB/cell


No. 3
# YSi3As

A relaxed YSi3As crystal (PBE, the Alexandria database).

extended XYZ file:
```
5
Lattice="4.8274 0.0000 0.0000 0.0000 4.8274 0.0000 0.0000 0.0000 4.8274" Properties=species:S:1:pos:R:3 pbc="T T T"
Y 0.0000 0.0000 0.0000
Si 0.0000 2.4137 2.4137
Si 2.4137 0.0000 2.4137
Si 2.4137 2.4137 0.0000
As 2.4137 2.4137 2.4137
```

Properties
**Electronic total energy**: -24.7 eV for the cell shown
**N(E_F)**: 4.1 states/eV per cell
**Energy relative to the elements, uncorrected**: 51.7 kJ per mole of atoms
**Total moment**: 0.00 μB/cell


No. 4
# Y2SiAs

A relaxed Y2SiAs crystal (PBE, the Alexandria database).

extended XYZ file:
```
4
Lattice="2.1313 1.2305 6.5578 -2.1313 1.2305 6.5578 0.0000 -2.4611 6.5578" Properties=species:S:1:pos:R:3 pbc="T T T"
Y 0.0000 0.0000 0.0000
Y 0.0000 0.0000 3.5673
Si 0.0000 0.0000 8.3103
As 0.0000 0.0000 14.9132
```

Properties
**Electronic total energy**: -24.6 eV for the cell shown
**N(E_F)**: 3.2 states/eV per cell
**Energy relative to the elements, uncorrected**: -39.6 kJ per mole of atoms
**Total moment**: 0.00 μB/cell


No. 5
# Y2SiAs

A relaxed Y2SiAs crystal (PBE, the Alexandria database).

extended XYZ file:
```
4
Lattice="0.0000 3.5719 3.5719 3.5719 0.0000 3.5719 3.5719 3.5719 0.0000" Properties=species:S:1:pos:R:3 pbc="T T T"
Y 1.7859 1.7859 1.7859
Y 5.3578 5.3578 5.3578
Si 0.0000 0.0000 0.0000
As 3.5719 3.5719 3.5719
```

Properties
**Electronic total energy**: -25.7 eV for the cell shown
**N(E_F)**: 3.7 states/eV per cell
**Energy relative to the elements, uncorrected**: -65.9 kJ per mole of atoms
**Total moment**: 0.00 μB/cell


No. 6
# YSi2As2

A relaxed YSi2As2 crystal (PBE, the Alexandria database).

extended XYZ file:
```
5
Lattice="-1.8684 1.8684 7.2408 1.8684 -1.8684 7.2408 1.8684 1.8684 -7.2408" Properties=species:S:1:pos:R:3 pbc="T T T"
Y 0.0000 0.0000 0.0000
Si 1.8684 0.0000 3.6204
Si 0.0000 1.8684 3.6204
As 0.0000 0.0000 5.8697
As 0.0000 0.0000 8.6120
```

Properties
**Electronic total energy**: -27.4 eV for the cell shown
**N(E_F)**: 2.0 states/eV per cell
**Energy relative to the elements, uncorrected**: -15.3 kJ per mole of atoms
**Total moment**: 0.00 μB/cell


No. 7
# Y2SiAs

A relaxed Y2SiAs crystal (PBE, the Alexandria database).

extended XYZ file:
```
4
Lattice="4.1266 0.0000 0.0000 0.0000 4.1266 0.0000 0.0000 0.0000 5.8160" Properties=species:S:1:pos:R:3 pbc="T T T"
Y 0.0000 0.0000 0.0000
Y 2.0633 2.0633 2.9080
Si 0.0000 0.0000 2.9080
As 2.0633 2.0633 0.0000
```

Properties
**Electronic total energy**: -27.0 eV for the cell shown
**N(E_F)**: 3.2 states/eV per cell
**Energy relative to the elements, uncorrected**: -96.4 kJ per mole of atoms
**Total moment**: 0.00 μB/cell


No. 8
# Y3SiAs

A relaxed Y3SiAs crystal (PBE, the Alexandria database).

extended XYZ file:
```
5
Lattice="5.2961 0.0000 0.0000 0.0000 5.2961 0.0000 0.0000 0.0000 5.2961" Properties=species:S:1:pos:R:3 pbc="T T T"
Y 0.0000 0.0000 2.6481
Y 0.0000 2.6481 0.0000
Y 2.6481 0.0000 0.0000
Si 2.6481 2.6481 2.6481
As 0.0000 0.0000 0.0000
```

Properties
**Electronic total energy**: -31.0 eV for the cell shown
**N(E_F)**: 3.6 states/eV per cell
**Energy relative to the elements, uncorrected**: -29.8 kJ per mole of atoms
**Total moment**: 0.00 μB/cell


No. 9
# Y2SiAs

A relaxed Y2SiAs crystal (PBE, the Alexandria database).

extended XYZ file:
```
4
Lattice="0.0000 3.5414 3.5414 3.5414 0.0000 3.5414 3.5414 3.5414 0.0000" Properties=species:S:1:pos:R:3 pbc="T T T"
Y 0.0000 0.0000 0.0000
Y 1.7707 1.7707 1.7707
Si 5.3121 5.3121 5.3121
As 3.5414 3.5414 3.5414
```

Properties
**Electronic total energy**: -23.2 eV for the cell shown
**N(E_F)**: 5.8 states/eV per cell
**Energy relative to the elements, uncorrected**: -5.2 kJ per mole of atoms
**Total moment**: 0.00 μB/cell


No. 10
# Y4SiAs

A relaxed Y4SiAs crystal (PBE, the Alexandria database).

extended XYZ file:
```
6
Lattice="0.0000 4.3032 4.3032 4.3032 0.0000 4.3032 4.3032 4.3032 0.0000" Properties=species:S:1:pos:R:3 pbc="T T T"
Y 1.0798 1.0798 1.0798
Y 3.2234 3.2234 1.0798
Y 3.2234 1.0798 3.2234
Y 1.0798 3.2234 3.2234
Si 4.3032 4.3032 4.3032
As 6.4548 6.4548 6.4548
```

Properties
**Electronic total energy**: -33.9 eV for the cell shown
**N(E_F)**: 5.7 states/eV per cell
**Energy relative to the elements, uncorrected**: 33.2 kJ per mole of atoms
**Total moment**: 0.00 μB/cell


No. 11
# YSi3As

A relaxed YSi3As crystal (PBE, the Alexandria database).

extended XYZ file:
```
5
Lattice="5.2802 0.0000 0.0000 0.0000 5.2802 0.0000 0.0000 0.0000 5.2802" Properties=species:S:1:pos:R:3 pbc="T T T"
Y 0.0000 0.0000 0.0000
Si 0.0000 0.0000 2.6401
Si 0.0000 2.6401 0.0000
Si 2.6401 0.0000 0.0000
As 2.6401 2.6401 2.6401
```

Properties
**Electronic total energy**: -20.5 eV for the cell shown
**N(E_F)**: 4.9 states/eV per cell
**Energy relative to the elements, uncorrected**: 132.6 kJ per mole of atoms
**Total moment**: 0.00 μB/cell


No. 12
# Y2SiAs

A relaxed Y2SiAs crystal (PBE, the Alexandria database).

extended XYZ file:
```
4
Lattice="5.3713 -2.0328 0.0000 5.3713 2.0328 0.0000 -0.3575 0.0000 4.1349" Properties=species:S:1:pos:R:3 pbc="T T T"
Y 0.0000 0.0000 0.0000
Y 7.6611 0.0000 2.1397
Si 2.8776 0.0000 0.1322
As 4.7228 0.0000 1.9821
```

Properties
**Electronic total energy**: -26.9 eV for the cell shown
**N(E_F)**: 1.3 states/eV per cell
**Energy relative to the elements, uncorrected**: -94.9 kJ per mole of atoms
**Total moment**: 0.00 μB/cell


No. 13
# Y2SiAs

A relaxed Y2SiAs crystal (PBE, the Alexandria database).

extended XYZ file:
```
8
Lattice="2.1130 -11.2449 0.0000 2.1130 11.2449 0.0000 0.0000 0.0000 3.9546" Properties=species:S:1:pos:R:3 pbc="T T T"
Y 2.1130 9.7961 2.9660
Y 2.1130 4.1468 2.9660
Y 2.1130 -4.1468 0.9887
Y 2.1130 -9.7961 0.9887
Si 2.1130 0.8251 2.9660
Si 2.1130 -0.8251 0.9887
As 2.1130 7.0149 2.9660
As 2.1130 -7.0149 0.9887
```

Properties
**Electronic total energy**: -55.4 eV for the cell shown
**N(E_F)**: 2.8 states/eV per cell
**Energy relative to the elements, uncorrected**: -112.9 kJ per mole of atoms
**Total moment**: 0.00 μB/cell


No. 14
# YSi2As2

A relaxed YSi2As2 crystal (PBE, the Alexandria database).

extended XYZ file:
```
5
Lattice="-2.1307 2.1307 5.4878 2.1307 -2.1307 5.4878 2.1307 2.1307 -5.4878" Properties=species:S:1:pos:R:3 pbc="T T T"
Y 0.0000 0.0000 0.0000
Si 0.0000 0.0000 4.3576
Si 0.0000 0.0000 6.6180
As 2.1307 0.0000 2.7439
As 0.0000 2.1307 2.7439
```

Properties
**Electronic total energy**: -26.5 eV for the cell shown
**N(E_F)**: 2.5 states/eV per cell
**Energy relative to the elements, uncorrected**: 2.7 kJ per mole of atoms
**Total moment**: 0.00 μB/cell